[1]
MgSn2 GGA-PBEsol relaxed; symmetry = P6_3/mmc, No. 194; DOS at the Fermi energy = 3.5 states/eV per cell; formation energy from the elements = -0.036 eV/atom
1.0
3.313 0.000 0.000
-1.656 2.869 0.000
0.000 0.000 15.652
Mg Sn
2 4
Cartesian
0.000 1.913 3.913
1.656 0.956 11.739
0.000 1.913 9.250
0.000 1.913 14.228
1.656 0.956 1.424
1.656 0.956 6.402

---

[2]
MgSn2 GGA-PBEsol relaxed; symmetry = C2/c, No. 15; DOS at the Fermi energy = 5.4 states/eV per cell; formation energy from the elements = -0.085 eV/atom
1.0
9.426 0.000 0.000
0.000 5.842 0.000
-4.682 0.000 5.323
Mg Sn
4 8
Cartesian
-1.171 0.721 1.331
-3.512 5.121 3.992
1.201 2.200 3.992
3.542 3.642 1.331
-1.922 2.192 3.989
0.419 3.650 1.328
1.953 0.729 1.333
-0.388 5.112 3.995
5.132 0.729 1.328
2.791 5.112 3.989
4.325 2.192 3.995
6.666 3.650 1.333

---

[3]
MgSn GGA-PBEsol relaxed; symmetry = C2/m, No. 12; DOS at the Fermi energy = 3.4 states/eV per cell; formation energy from the elements = -0.143 eV/atom
1.0
11.264 0.000 0.000
0.000 3.313 0.000
-1.515 0.000 5.019
Mg Sn
4 4
Cartesian
1.002 0.000 1.413
3.114 1.656 3.606
6.634 1.656 1.413
8.746 0.000 3.606
0.140 1.656 3.872
3.977 0.000 1.148
5.772 0.000 3.872
9.609 1.656 1.148

---

[4]
MgSn GGA-PBEsol relaxed; symmetry = Pmmn, No. 59; DOS at the Fermi energy = 1.8 states/eV per cell; formation energy from the elements = -0.101 eV/atom
1.0
3.500 0.000 0.000
0.000 5.414 0.000
0.000 0.000 5.030
Mg Sn
2 2
Cartesian
0.875 1.353 0.465
2.625 4.060 4.565
0.875 4.060 2.049
2.625 1.353 2.981

---

| no. | DFT total energy (eV/atom) |
| --- | --- |
| 1 | -3.448 |
| 2 | -3.497 |
| 3 | -3.131 |
| 4 | -3.089 |